No. 1
Density functional theory data (PBE) for a geometry-optimized AcZnB structure.

Cell: 3.9398 3.9449 10.4953 Å, 100.48 90.00 119.96°
Last column: nearest neighbours and their distance in Å.
Sites, in units of the cell vectors:
Ac1 0.0962 0.1923 0.7975  3 B 2.77
Ac2 0.9038 0.8077 0.2025  3 B 2.77
B1 0.3797 0.7594 0.6440  4 Zn 2.19-2.40
B2 0.6203 0.2406 0.3560  4 Zn 2.19-2.40
Zn1 0.3113 0.6226 0.4308  4 B 2.19-2.40
Zn2 0.6887 0.3774 0.5692  4 B 2.19-2.40

The calculation puts the formation energy at 0.17 eV per atom. The value obtained for the density of states at the Fermi level is 1.6 states/eV per cell. As for the total magnetic moment: 0.000 μB per atom. Its space-group type is C2/m, No. 12.

=====

No. 2
Density functional theory data (PBE) for a geometry-optimized AlBi2H2Pd7 structure.

Cell: 4.0298 4.0298 11.6350 Å, 80.00 80.00 90.02°
Last column: nearest neighbours and their distance in Å.
Sites, in units of the cell vectors:
Al1 0.0000 0.0000 0.0000  12 Pd 2.76-2.85
Pd1 0.0844 0.5845 0.8321  2 H 2.01-2.02
Pd2 0.5845 0.0844 0.8321  2 H 2.01-2.02
Pd3 0.3235 0.3235 0.3515  1 H 2.00
Pd4 0.9156 0.4155 0.1679  2 H 2.01-2.02
Pd5 0.4155 0.9156 0.1679  2 H 2.01-2.02
Pd6 0.5000 0.5000 0.0000  2 H 1.96
Pd7 0.6765 0.6765 0.6485  1 H 2.00
H1 0.4104 0.4104 0.1738  6 Pd 1.96-2.02
H2 0.5896 0.5896 0.8262  6 Pd 1.96-2.02
Bi1 0.8019 0.8019 0.3935  5 Pd 2.88-2.89
Bi2 0.1981 0.1981 0.6065  5 Pd 2.88-2.89

The value obtained for the density of states at the Fermi level is 3.9 states/eV per cell. As for the total magnetic moment: 0.000 μB per atom. Its space-group type is C2/m, No. 12. The value obtained for the total energy is -58.89 eV/cell.